# 1
{"formula": "Ta2Nb", "functional": "GGA-PBE", "state": "optimized geometry", "total_energy_ev_per_atom": -7.431, "relative_energy_ev_per_atom": 3.840, "lattice_angstrom": [[0.000, 5.630, 5.630], [5.630, 0.000, 5.630], [5.630, 5.630, 0.000]], "species": ["Ta", "Ta", "Ta", "Ta", "Nb", "Nb"], "frac_coords": [[0.000, 0.000, 0.000], [0.000, 0.000, 0.500], [0.000, 0.500, 0.000], [0.500, 0.000, 0.000], [0.125, 0.125, 0.125], [0.875, 0.875, 0.875]]}

---

# 2
{"formula": "Hf4BiAsN2", "functional": "GGA-PBE", "state": "optimized geometry", "total_energy_ev_per_atom": -9.194, "lattice_angstrom": [[3.409, 0.000, 0.000], [-1.705, 2.952, 0.000], [0.000, 0.000, 13.073]], "species": ["Hf", "Hf", "Hf", "Hf", "Bi", "As", "N", "N"], "frac_coords": [[0.000, 0.000, 0.143], [0.000, 0.000, 0.857], [0.333, 0.667, 0.321], [0.333, 0.667, 0.679], [0.000, 0.000, 0.500], [0.333, 0.667, 0.000], [0.667, 0.333, 0.233], [0.667, 0.333, 0.767]]}

---

# 3
{"formula": "BaReB4", "functional": "GGA-PBE", "state": "optimized geometry", "total_energy_ev_per_atom": -6.136, "relative_energy_ev_per_atom": 0.511, "lattice_angstrom": [[-1.550, 2.873, 3.971], [1.550, -2.873, 3.971], [1.550, 2.873, -3.971]], "species": ["Ba", "Re", "B", "B", "B", "B"], "frac_coords": [[0.000, 0.000, 0.000], [0.500, 0.500, 0.000], [0.119, 0.770, 0.349], [0.421, 0.770, 0.651], [0.579, 0.230, 0.349], [0.881, 0.230, 0.651]]}

---

# 4
{"formula": "Cu", "functional": "GGA-PBE", "state": "optimized geometry", "total_energy_ev_per_atom": -3.708, "relative_energy_ev_per_atom": 0.009, "lattice_angstrom": [[1.278, -2.199, 0.000], [1.278, 2.199, 0.000], [0.000, 0.000, 4.183]], "species": ["Cu", "Cu"], "frac_coords": [[0.165, 0.835, 0.750], [0.835, 0.165, 0.250]]}